Entry 1:
Material: AcPaPbO5
Method: DFT, PBE
State: relaxed

For the uncorrected formation energy, the calculation gives -2.878 eV/atom. As for the total energy: -8.141 eV per atom. As for the calculated density: 7.79 g/cm3. The total magnetization is 0.0 μB per formula unit.

The space group is C2/c (No. 15) and the conventional cell measures 8.570, 10.110 and 8.124 Å, with angles of 90.00, 115.51 and 90.00 degrees. The distinct sites, in fractional coordinates, are Ac at (0.000, 0.066, 0.250), Pa at (0.250, 0.250, 0.000), Pb at (0.000, 0.447, 0.250), O at (0.000, 0.226, 0.750), O at (0.108, 0.273, 0.159) and O at (0.205, 0.037, 0.032).

Entry 2:
Material: AcPa2PdO8
Method: DFT, PBE
State: relaxed

For the uncorrected formation energy, the calculation gives -2.574 eV/atom. As for the total energy: -8.237 eV per atom. As for the calculated density: 8.59 g/cm3. The total magnetization is 1.0 μB per formula unit.

The space group is P-3 (No. 147) and the conventional cell measures 5.6689, 5.6689 and 6.4123 Å, with angles of 90.00, 90.00 and 120.00 degrees. The distinct sites, in fractional coordinates, are Ac at (0.0000, 0.0000, 0.0000), Pa at (0.3333, 0.6667, 0.3795), Pd at (0.0000, 0.0000, 0.5000), O at (0.0679, 0.3444, 0.6676) and O at (0.3333, 0.6667, 0.0769).

Entry 3:
Material: AcPaPdO6
Method: DFT, PBE
State: relaxed

For the uncorrected formation energy, the calculation gives -2.303 eV/atom. As for the total energy: -7.697 eV per atom. As for the calculated density: 8.16 g/cm3. The total magnetization is 0.0 μB per formula unit.

The space group is P312 (No. 149) and the conventional cell measures 5.5926, 5.5926 and 4.9619 Å, with angles of 90.00, 90.00 and 120.00 degrees. The distinct sites, in fractional coordinates, are Ac at (0.0000, 0.0000, 0.0000), Pa at (0.6667, 0.3333, 0.5000), Pd at (0.3333, 0.6667, 0.0000) and O at (0.0104, 0.3885, 0.2454).

Entry 4:
Material: AcPaPdO5
Method: DFT, PBE
State: relaxed

For the uncorrected formation energy, the calculation gives -2.573 eV/atom. As for the total energy: -8.022 eV per atom. As for the calculated density: 8.21 g/cm3. The total magnetization is 0.0 μB per formula unit.

The space group is C2/c (No. 15) and the conventional cell measures 6.399, 10.380 and 8.261 Å, with angles of 90.00, 108.14 and 90.00 degrees. The distinct sites, in fractional coordinates, are Ac at (0.000, 0.186, 0.250), Pa at (0.000, 0.500, 0.000), Pd at (0.000, 0.161, 0.750), O at (0.000, 0.426, 0.250), O at (0.044, 0.297, 0.572) and O at (0.148, 0.014, 0.916).

Entry 5:
Material: Ac2PaPd3O12
Method: DFT, PBE
State: relaxed

For the uncorrected formation energy, the calculation gives -1.723 eV/atom. As for the total energy: -6.878 eV per atom. As for the calculated density: 8.36 g/cm3. The total magnetization is 0.0 μB per formula unit.

The space group is R-3m (No. 166, hexagonal axes) and the conventional cell measures 7.0826, 7.0826 and 16.4096 Å, with angles of 90.00, 90.00 and 120.00 degrees. The distinct sites, in fractional coordinates, are Ac at (0.0000, 0.0000, 0.1154), Pa at (0.0000, 0.0000, 0.5000), Pd at (0.0000, 0.5000, 0.0000), O at (0.0425, 0.5213, 0.8783) and O at (0.0626, 0.5313, 0.2926).

Entry 6:
Material: AcPrPa2O8
Method: DFT, PBE
State: relaxed

For the uncorrected formation energy, the calculation gives -3.612 eV/atom. As for the total energy: -9.241 eV per atom. As for the calculated density: 9.17 g/cm3. The total magnetization is 0.0 μB per formula unit.

The space group is I-4m2 (No. 119) and the conventional cell measures 5.622, 5.622 and 10.980 Å, with angles of 90.00, 90.00 and 90.00 degrees. The distinct sites, in fractional coordinates, are Ac at (0.000, 0.000, 0.000), Pr at (0.000, 0.500, 0.750), Pa at (0.000, 0.000, 0.500), Pa at (0.000, 0.500, 0.250) and O at (0.224, 0.246, 0.373).

Entry 7:
Material: Ac2PrPaO8
Method: DFT, PBE
State: relaxed

For the uncorrected formation energy, the calculation gives -3.125 eV/atom. As for the total energy: -8.305 eV per atom. As for the calculated density: 8.36 g/cm3. The total magnetization is 2.0 μB per formula unit.

The space group is Pmmm (No. 47) and the conventional cell measures 4.113, 5.764 and 7.989 Å, with angles of 90.00, 90.00 and 90.00 degrees. The distinct sites, in fractional coordinates, are Ac at (0.000, 0.000, 0.248), Pr at (0.500, 0.500, 0.500), Pa at (0.500, 0.500, 0.000), O at (0.000, 0.258, 0.500), O at (0.000, 0.285, 0.000) and O at (0.500, 0.267, 0.225).

Entry 8:
Material: Ac2PaPt3O12
Method: DFT, PBE
State: relaxed

For the uncorrected formation energy, the calculation gives -1.830 eV/atom. As for the total energy: -7.126 eV per atom. As for the calculated density: 10.06 g/cm3. The total magnetization is 0.0 μB per formula unit.

The space group is R-3m (No. 166, hexagonal axes) and the conventional cell measures 7.0886, 7.0886 and 16.6349 Å, with angles of 90.00, 90.00 and 120.00 degrees. The distinct sites, in fractional coordinates, are Ac at (0.0000, 0.0000, 0.1187), Pa at (0.0000, 0.0000, 0.5000), Pt at (0.0000, 0.5000, 0.0000), O at (0.0404, 0.5202, 0.8791) and O at (0.0621, 0.5311, 0.2933).

Entry 9:
Material: Ac2PaPtO8
Method: DFT, PBE
State: relaxed

For the uncorrected formation energy, the calculation gives -2.439 eV/atom. As for the total energy: -7.724 eV per atom. As for the calculated density: 9.04 g/cm3. The total magnetization is 1.0 μB per formula unit.

The space group is P2/m (No. 10) and the conventional cell measures 4.519, 7.369 and 5.595 Å, with angles of 90.00, 96.11 and 90.00 degrees. The distinct sites, in fractional coordinates, are Ac at (0.000, 0.239, 0.000), Pa at (0.500, 0.500, 0.500), Pt at (0.500, 0.000, 0.500), O at (0.099, 0.500, 0.271), O at (0.122, 0.000, 0.299) and O at (0.430, 0.236, 0.715).